DFT (GGA-PBE) results for a geometry-optimized Nd2PPt3 structure.

Summary:
Calculated volume: 21.5 Å³ per atom
Space-group type: Fmmm (69)
Distance to the lowest polymorph of the same formula: 0.00 eV/f.u.
E_tot: -80.04 eV/cell
Calculated density: 11.66 g/cm3

Cell lengths 8.6732, 8.5003, 5.8656 Å; angles 71.62, 68.45, 39.93 degrees
Atoms (fractional coordinates):
Nd 0.2376 0.7624 0.7624
Nd 0.2500 0.2500 0.2500
Nd 0.7500 0.7500 0.7500
Nd 0.7624 0.2376 0.2376
P 0.3344 0.3344 0.6656
P 0.6656 0.6656 0.3344
Pt 0.1768 0.1768 0.8232
Pt 0.1767 0.6475 0.3525
Pt 0.3525 0.8233 0.1767
Pt 0.6475 0.1767 0.8233
Pt 0.8233 0.3525 0.6475
Pt 0.8232 0.8232 0.1768


DFT (GGA-PBE) results for a geometry-optimized ErPb3 structure.

Summary:
Calculated volume: 29.2 Å³ per atom
Space-group type: Imm2 (44)
E_tot: -16.45 eV/cell
Calculated density: 11.23 g/cm3

Cell lengths 6.6171, 6.6171, 6.6171 Å; angles 148.65, 61.40, 128.66 degrees
Atoms (fractional coordinates):
Er 0.0000 0.0000 0.0000
Pb 0.0964 0.3499 0.7466
Pb 0.4880 0.9880 0.5000
Pb 0.6033 0.3499 0.2534


DFT (GGA-PBE) results for a geometry-optimized KNaCd3 structure.

Summary:
Calculated volume: 38.3 Å³ per atom
Space-group type: Pm-3m (221)
Distance to the lowest polymorph of the same formula: 1.15 eV/f.u.
E_tot: -4.25 eV/cell
Calculated density: 3.46 g/cm3

Cell lengths 5.7653, 5.7653, 5.7653 Å; angles 90.00, 90.00, 90.00 degrees
Atoms (fractional coordinates):
K 0.0000 0.0000 0.0000
Na 0.5000 0.5000 0.5000
Cd 0.0000 0.5000 0.5000
Cd 0.5000 0.0000 0.5000
Cd 0.5000 0.5000 0.0000


DFT (GGA-PBE) results for a geometry-optimized KTcOs2 structure.

Summary:
Calculated volume: 17.1 Å³ per atom
Space-group type: Cmmm (65)
Distance to the lowest polymorph of the same formula: 0.82 eV/f.u.
E_tot: -30.35 eV/cell
Calculated density: 12.58 g/cm3

Cell lengths 2.7266, 2.7266, 10.3177 Å; angles 90.00, 90.00, 117.07 degrees
Atoms (fractional coordinates):
K 0.0000 0.0000 0.0000
Tc 0.0000 0.0000 0.5000
Os 0.5000 0.5000 0.2845
Os 0.5000 0.5000 0.7155